[1]
The following is a DFT calculation (GGA-PBE) of an optimized crystal structure of NpNb2Tl2S6.

Output
D(E_F) ... 12.02 states/eV per cell
DFT total energy ... -6.599 eV per atom
Uncorrected formation energy ... -0.911 eV/atom

extended XYZ file:
```
11
Lattice="3.2459 -5.2985 0.0000 3.2459 5.2985 0.0000 -1.5719 0.0000 7.8471" Properties=species:S:1:pos:R:3 pbc="T T T"
Np 0.0000 0.0000 0.0000
Nb 3.2459 1.4865 0.0000
Nb 3.2459 -1.4865 0.0000
Tl 2.4600 3.4586 3.9236
Tl 2.4600 -3.4586 3.9236
S 1.2085 1.8874 1.4333
S 0.5924 0.0000 6.2097
S 1.2085 -1.8874 1.4333
S 3.7115 1.8874 6.4138
S 4.3276 0.0000 1.6375
S 3.7115 -1.8874 6.4138
```

=====

[2]
The following is a DFT calculation (GGA-PBE) of an optimized crystal structure of Np3NbTl3S8.

Output
D(E_F) ... 31.35 states/eV per cell
DFT total energy ... -6.942 eV per atom
Uncorrected formation energy ... -1.008 eV/atom

extended XYZ file:
```
15
Lattice="3.8917 2.2469 7.6839 -3.8917 2.2469 7.6839 0.0000 -4.4938 7.6839" Properties=species:S:1:pos:R:3 pbc="T T T"
Np -1.9459 -1.1234 7.6839
Np -1.9459 1.1234 15.3678
Np 0.0000 2.2469 7.6839
Nb 0.0000 0.0000 0.0000
Tl -3.8917 0.0000 11.5258
Tl -1.9459 1.1234 3.8419
Tl 1.9459 1.1234 3.8419
S 0.0000 -2.3714 9.1427
S -2.0537 1.1857 9.1427
S -2.0537 -1.1857 13.9089
S 0.0000 0.0000 6.1539
S 0.0000 0.0000 16.8978
S 2.0537 1.1857 9.1427
S 2.0537 -1.1857 13.9089
S 0.0000 2.3714 13.9089
```

=====

[3]
The following is a DFT calculation (GGA-PBE) of an optimized crystal structure of NpNbSb3.

Output
D(E_F) ... 50.08 states/eV per cell
DFT total energy ... -7.315 eV per atom
Uncorrected formation energy ... -0.239 eV/atom

extended XYZ file:
```
20
Lattice="12.8305 0.0000 0.0000 0.0000 6.3827 0.0000 0.0000 0.0000 6.1219" Properties=species:S:1:pos:R:3 pbc="T T T"
Np 2.3926 0.0101 1.5305
Np 2.3926 3.1812 4.5914
Np 10.4379 3.2015 1.5305
Np 10.4379 6.3725 4.5914
Nb 5.1148 4.7870 0.0000
Nb 5.1148 4.7870 3.0610
Nb 7.7156 1.5957 0.0000
Nb 7.7156 1.5957 3.0610
Sb 0.0222 4.7870 0.0000
Sb 0.0222 4.7870 3.0610
Sb 3.3376 0.0473 4.5914
Sb 3.3376 3.1440 1.5305
Sb 5.4567 0.7579 1.5305
Sb 5.4567 2.4334 4.5914
Sb 7.3738 3.9493 1.5305
Sb 7.3738 5.6247 4.5914
Sb 9.4929 3.2386 4.5914
Sb 9.4929 6.3354 1.5305
Sb 12.8082 1.5957 0.0000
Sb 12.8082 1.5957 3.0610
```

=====

[4]
The following is a DFT calculation (GGA-PBE) of an optimized crystal structure of NpNbSb.

Output
D(E_F) ... 10.68 states/eV per cell
DFT total energy ... -8.853 eV per atom
Uncorrected formation energy ... 0.192 eV/atom

extended XYZ file:
```
6
Lattice="3.9022 0.0000 0.0000 0.0000 6.4299 0.0000 0.0000 0.0000 5.5846" Properties=species:S:1:pos:R:3 pbc="T T T"
Np 0.0000 0.4658 0.0000
Np 0.0000 5.9641 2.7923
Nb 0.0000 2.5058 4.1230
Nb 0.0000 3.9241 1.3307
Sb 1.9511 1.9305 2.0465
Sb 1.9511 4.4993 4.8387
```